[1]
# YTeF

An optimized crystal structure of YTeF (PBE-GGA, Alexandria).

abc: 4.067 4.067 7.596
angles: 90.00 90.00 90.00
Space group P4/nmm (No. 129, origin choice 2)
Unique sites:
Y  0.250  0.250  0.197 x2
Te  0.250  0.250  0.641 x2
F  0.250  0.750  0.000 x2

## Properties
Its formation energy (no corrections) is -2.531 eV/atom. The calculation puts the magnetization at 0.0000 μB per atom. The calculated volume comes out at 125.65 Å³/cell.


[2]
# YTeF

An optimized crystal structure of YTeF (PBE-GGA, Alexandria).

abc: 10.828 4.154 7.224
angles: 90.00 110.55 90.00
Space group C2/m (No. 12)
Unique sites:
Y  0.216  0.000  0.259 x4
Te  0.088  0.000  0.806 x4
F  0.189  0.500  0.393 x4

## Properties
Its formation energy (no corrections) is -2.525 eV/atom. The calculation puts the magnetization at 0.0000 μB per atom. The calculated volume comes out at 304.26 Å³/cell.


[3]
# Y2Te3F

An optimized crystal structure of Y2Te3F (PBE-GGA, Alexandria).

abc: 15.953 4.869 10.763
angles: 90.00 114.94 90.00
Space group C2/m (No. 12)
Unique sites:
Y  0.098  0.000  0.449 x4
Y  0.148  0.500  0.843 x4
Te  0.063  0.500  0.260 x4
Te  0.141  0.000  0.004 x4
Te  0.218  0.500  0.617 x4
F  0.058  0.000  0.626 x4

## Properties
Its formation energy (no corrections) is -1.688 eV/atom. The calculation puts the magnetization at 0.0000 μB per atom. The calculated volume comes out at 758.09 Å³/cell.


[4]
# ZnTe3F

An optimized crystal structure of ZnTe3F (PBE-GGA, Alexandria).

abc: 5.188 5.188 5.188
angles: 90.00 90.00 90.00
Space group Pm-3m (No. 221)
Unique sites:
Zn  0.000  0.000  0.000 x1
Te  0.000  0.000  0.500 x3
F  0.500  0.500  0.500 x1

## Properties
Its formation energy (no corrections) is 0.224 eV/atom. For the energy relative to the lowest polymorph listed for this composition, the calculation gives 102 meV/atom. The calculation puts the magnetization at 0.0000 μB per atom. The calculated volume comes out at 139.60 Å³/cell.


[5]
# Zn3TeF

An optimized crystal structure of Zn3TeF (PBE-GGA, Alexandria).

abc: 5.472 5.472 5.472
angles: 90.00 90.00 90.00
Space group Pm-3m (No. 221)
Unique sites:
Zn  0.000  0.000  0.500 x3
Te  0.000  0.000  0.000 x1
F  0.500  0.500  0.500 x1

## Properties
Its formation energy (no corrections) is 0.070 eV/atom. For the energy relative to the lowest polymorph listed for this composition, the calculation gives 296 meV/atom. The calculation puts the magnetization at 0.0000 μB per atom. The calculated volume comes out at 163.81 Å³/cell.


[6]
# ZnTeF2

An optimized crystal structure of ZnTeF2 (PBE-GGA, Alexandria).

abc: 3.1109 3.1109 24.9407
angles: 90.00 90.00 120.00
Space group R-3m (No. 166, hexagonal axes)
Unique sites:
Zn  0.0000  0.0000  0.0000 x3
Te  0.0000  0.0000  0.5000 x3
F  0.0000  0.0000  0.3731 x6

## Properties
Its formation energy (no corrections) is -1.514 eV/atom. For the energy relative to the lowest polymorph listed for this composition, the calculation gives 0 meV/atom. The calculation puts the magnetization at 0.0000 μB per atom. The calculated volume comes out at 209.04 Å³/cell.


[7]
# Zn2TeF8

An optimized crystal structure of Zn2TeF8 (PBE-GGA, Alexandria).

abc: 9.692 7.211 4.337
angles: 90.00 92.38 90.00
Space group C2/m (No. 12)
Unique sites:
Zn  0.117  0.000  0.266 x4
Te  0.000  0.500  0.000 x2
F  0.092  0.000  0.754 x4
F  0.103  0.288  0.245 x8
F  0.178  0.500  0.739 x4

## Properties
Its formation energy (no corrections) is -2.135 eV/atom. The calculation puts the magnetization at 0.0000 μB per atom. The calculated volume comes out at 302.82 Å³/cell.


[8]
# ZnTe2F

An optimized crystal structure of ZnTe2F (PBE-GGA, Alexandria).

abc: 4.503 4.503 18.237
angles: 90.00 90.00 90.00
Space group I-42d (No. 122)
Unique sites:
Zn  0.000  0.000  0.000 x4
Te  0.249  0.250  0.625 x8
F  0.000  0.000  0.500 x4

## Properties
Its formation energy (no corrections) is -0.414 eV/atom. For the energy relative to the lowest polymorph listed for this composition, the calculation gives 0 meV/atom. The calculation puts the magnetization at 0.0000 μB per atom. The calculated volume comes out at 369.84 Å³/cell.


[9]
# ZnTe2F

An optimized crystal structure of ZnTe2F (PBE-GGA, Alexandria).

abc: 3.3637 3.3637 27.2283
angles: 90.00 90.00 120.00
Space group R-3m (No. 166, hexagonal axes)
Unique sites:
Zn  0.0000  0.0000  0.0000 x3
Te  0.0000  0.0000  0.4146 x6
F  0.0000  0.0000  0.5000 x3

## Properties
Its formation energy (no corrections) is -0.337 eV/atom. For the energy relative to the lowest polymorph listed for this composition, the calculation gives 78 meV/atom. The calculation puts the magnetization at 0.0000 μB per atom. The calculated volume comes out at 266.79 Å³/cell.


[10]
# ZnTe2F

An optimized crystal structure of ZnTe2F (PBE-GGA, Alexandria).

abc: 6.806 6.806 6.806
angles: 90.00 90.00 90.00
Space group Fm-3m (No. 225)
Unique sites:
Zn  0.000  0.000  0.000 x4
Te  0.250  0.250  0.250 x8
F  0.000  0.000  0.500 x4

## Properties
Its formation energy (no corrections) is -0.393 eV/atom. For the energy relative to the lowest polymorph listed for this composition, the calculation gives 22 meV/atom. The calculation puts the magnetization at 0.0000 μB per atom. The calculated volume comes out at 315.28 Å³/cell.


[11]
# Zn3TeF

An optimized crystal structure of Zn3TeF (PBE-GGA, Alexandria).

abc: 4.599 4.599 4.599
angles: 90.00 90.00 90.00
Space group Pm-3m (No. 221)
Unique sites:
Zn  0.000  0.000  0.500 x3
Te  0.500  0.500  0.500 x1
F  0.000  0.000  0.000 x1

## Properties
Its formation energy (no corrections) is -0.226 eV/atom. For the energy relative to the lowest polymorph listed for this composition, the calculation gives 0 meV/atom. The calculation puts the magnetization at 0.0000 μB per atom. The calculated volume comes out at 97.30 Å³/cell.


[12]
# ZnTe3F

An optimized crystal structure of ZnTe3F (PBE-GGA, Alexandria).

abc: 4.969 4.969 4.969
angles: 90.00 90.00 90.00
Space group Pm-3m (No. 221)
Unique sites:
Zn  0.000  0.000  0.000 x1
Te  0.000  0.500  0.500 x3
F  0.500  0.500  0.500 x1

## Properties
Its formation energy (no corrections) is 0.122 eV/atom. For the energy relative to the lowest polymorph listed for this composition, the calculation gives 0 meV/atom. The calculation puts the magnetization at 0.0000 μB per atom. The calculated volume comes out at 122.67 Å³/cell.


> What is the calculated volume in the sixth record?

209.04 Å³/cell


What did the ninth record say?
# ZnTe2F

An optimized crystal structure of ZnTe2F (PBE-GGA, Alexandria).

abc: 3.3637 3.3637 27.2283
angles: 90.00 90.00 120.00
Space group R-3m (No. 166, hexagonal axes)
Unique sites:
Zn  0.0000  0.0000  0.0000 x3
Te  0.0000  0.0000  0.4146 x6
F  0.0000  0.0000  0.5000 x3

## Properties
Its formation energy (no corrections) is -0.337 eV/atom. For the energy relative to the lowest polymorph listed for this composition, the calculation gives 78 meV/atom. The calculation puts the magnetization at 0.0000 μB per atom. The calculated volume comes out at 266.79 Å³/cell.